(1)
The following is a PBE-GGA calculation of a relaxed structure of Nb4BiAuC2, from OQMD.

Cell lengths 3.2817, 3.2817, 13.8358 Å; angles 90.00, 90.00, 120.00 degrees
Closest atoms and distances in Å follow each position.
Positions (direct):
Nb (0.0000, 0.0000, 0.1611)  3 C 2.21
Nb (0.0000, 0.0000, 0.8389)  3 C 2.21
Nb (0.6667, 0.3333, 0.3259)  3 C 2.22
Nb (0.6667, 0.3333, 0.6741)  3 C 2.22
Bi (0.0000, 0.0000, 0.5000)  6 Nb 3.07, 6 Bi 3.28
Au (0.6667, 0.3333, 0.0000)  6 Nb 2.93
C (0.3333, 0.6667, 0.2429)  6 Nb 2.21-2.22
C (0.3333, 0.6667, 0.7571)  6 Nb 2.21-2.22

**Total magnetic moment**: 0.002 μB/atom
**Final energy**: -8.547 eV per atom

---

(2)
The following is a PBE-GGA calculation of a relaxed structure of KTbMgS3, from OQMD.

Cell lengths 10.8343, 4.0856, 14.2770 Å; angles 90.00, 90.00, 90.00 degrees
Closest atoms and distances in Å follow each position.
Positions (direct):
K (0.2282, 0.2500, 0.0084)  7 S 3.31-3.50
K (0.2718, 0.7500, 0.5084)  7 S 3.31-3.50
K (0.7282, 0.2500, 0.4916)  7 S 3.31-3.50
K (0.7718, 0.7500, 0.9916)  7 S 3.31-3.50
Tb (0.0135, 0.7500, 0.2573)  6 S 2.76-2.87
Tb (0.4865, 0.2500, 0.7573)  6 S 2.76-2.87
Tb (0.5135, 0.7500, 0.2427)  6 S 2.76-2.87
Tb (0.9865, 0.2500, 0.7427)  6 S 2.76-2.87
Mg (0.2354, 0.7500, 0.7854)  4 S 2.39-2.47
Mg (0.2646, 0.2500, 0.2854)  4 S 2.39-2.47
Mg (0.7354, 0.7500, 0.7146)  4 S 2.39-2.47
Mg (0.7646, 0.2500, 0.2146)  4 S 2.39-2.47
S (0.0428, 0.7500, 0.8676)  1 Mg 2.39
S (0.0797, 0.2500, 0.3769)  1 Mg 2.39
S (0.2378, 0.2500, 0.6887)  2 Mg 2.47
S (0.2622, 0.7500, 0.1887)  2 Mg 2.47
S (0.4203, 0.7500, 0.8769)  1 Mg 2.39
S (0.4572, 0.2500, 0.3676)  1 Mg 2.39
S (0.5428, 0.7500, 0.6324)  1 Mg 2.39
S (0.5797, 0.2500, 0.1231)  1 Mg 2.39
S (0.7378, 0.2500, 0.8113)  2 Mg 2.47
S (0.7622, 0.7500, 0.3113)  2 Mg 2.47
S (0.9203, 0.7500, 0.6231)  1 Mg 2.39
S (0.9572, 0.2500, 0.1324)  1 Mg 2.39

**Total magnetic moment**: 0.000 μB/atom
**Final energy**: -4.946 eV per atom

---

(3)
The following is a PBE-GGA calculation of a relaxed structure of DyErAl2, from OQMD.

Cell lengths 6.2032, 6.2032, 5.0695 Å; angles 90.00, 90.00, 109.66 degrees
Closest atoms and distances in Å follow each position.
Positions (direct):
Dy (0.1292, 0.8708, 0.7500)  8 Al 3.10-3.11
Dy (0.8708, 0.1292, 0.2500)  8 Al 3.10-3.11
Er (0.3703, 0.6297, 0.2500)  8 Al 3.08-3.12
Er (0.6297, 0.3703, 0.7500)  8 Al 3.08-3.12
Al (0.1335, 0.3713, 0.7500)  4 Er 3.08-3.12, 4 Dy 3.10-3.11
Al (0.3713, 0.1335, 0.2500)  4 Er 3.08-3.12, 4 Dy 3.10-3.11
Al (0.6287, 0.8665, 0.7500)  4 Er 3.08-3.12, 4 Dy 3.10-3.11
Al (0.8665, 0.6287, 0.2500)  4 Er 3.08-3.12, 4 Dy 3.10-3.11

**Total magnetic moment**: 0.001 μB/atom
**Final energy**: -4.557 eV per atom